No. 1
Zn5Hg12Cl3 | PBE | relaxed

a = 16.880 Å, b = 16.880 Å, c = 16.880 Å
α = 90.00°, β = 90.00°, γ = 90.00°
Space group Ia-3d (No. 230)
Asymmetric unit:
Zn  0.000  0.000  0.000
Zn  0.000  0.250  0.375
Hg  0.032  0.069  0.644
Cl  0.000  0.250  0.125

Properties
M_tot = 0.00 μB per atom
Total energy = -0.8307 eV per atom

***

No. 2
Zn2HgCl | PBE | relaxed

a = 3.530 Å, b = 6.212 Å, c = 8.763 Å
α = 90.00°, β = 90.00°, γ = 90.00°
Space group Imm2 (No. 44)
Asymmetric unit:
Zn  0.000  0.000  0.000
Zn  0.000  0.500  0.285
Hg  0.000  0.000  0.533
Cl  0.000  0.500  0.700

Properties
M_tot = 0.00 μB per atom
Total energy = -1.2926 eV per atom
E above lowest polymorph = 100 meV/atom

***

| no. | formation energy from raw total energies (meV per atom) |
| --- | --- |
| 1 | -54 |
| 2 | -118 |